A:
Hf3NbC: optimized geometry, GGA-PBE.

Cell lengths 5.0105, 5.0105, 5.0105 Å; angles 90.00, 90.00, 90.00 degrees
Closest atoms and distances in Å follow each position.
Element x y z (fractional)
1 Hf 0.5000 0.0000 0.0000  2 Nb 2.51
2 Hf 0.0000 0.0000 0.5000  2 Nb 2.51
3 C 0.5000 0.5000 0.5000  12 Hf 3.54
4 Hf 0.0000 0.5000 0.0000  2 Nb 2.51
5 Nb 0.0000 0.0000 0.0000  6 Hf 2.51

---

B:
Hf3NbC: optimized geometry, GGA-PBE.

Cell lengths 4.5093, 4.5093, 4.5093 Å; angles 90.00, 90.00, 90.00 degrees
Closest atoms and distances in Å follow each position.
Element x y z (fractional)
1 C 0.0000 0.0000 0.0000  6 Hf 2.25
2 Hf 0.0000 0.0000 0.5000  2 C 2.25
3 Nb 0.5000 0.5000 0.5000  12 Hf 3.19
4 Hf 0.5000 0.0000 0.0000  2 C 2.25
5 Hf 0.0000 0.5000 0.0000  2 C 2.25

---

Which structure wins on stability? B wins.

---

A:
Hf3NiC: optimized geometry, GGA-PBE.

Cell lengths 4.4093, 4.4093, 4.4093 Å; angles 90.00, 90.00, 90.00 degrees
Closest atoms and distances in Å follow each position.
Element x y z (fractional)
1 Ni 0.5000 0.5000 0.5000  12 Hf 3.12
2 C 0.0000 0.0000 0.0000  6 Hf 2.20
3 Hf 0.5000 0.0000 0.0000  2 C 2.20
4 Hf 0.0000 0.0000 0.5000  2 C 2.20
5 Hf 0.0000 0.5000 0.0000  2 C 2.20

---

B:
Hf3NiC: optimized geometry, GGA-PBE.

Cell lengths 3.2916, 5.8296, 8.7910 Å; angles 90.00, 90.00, 106.40 degrees
Closest atoms and distances in Å follow each position.
Element x y z (fractional)
1 Hf 0.9344 0.8687 0.2500  2 C 2.32
2 C 0.0000 0.0000 0.0000  6 Hf 2.28-2.32
3 Hf 0.3688 0.7375 0.5638  2 C 2.28
4 C 0.0000 0.0000 0.5000  6 Hf 2.28-2.32
5 Hf 0.6312 0.2625 0.0638  2 C 2.28
6 Hf 0.3688 0.7375 0.9362  2 C 2.28
7 Hf 0.6312 0.2625 0.4362  2 C 2.28
8 Hf 0.0656 0.1313 0.7500  2 C 2.32
9 Ni 0.2505 0.5011 0.2500  6 Hf 2.63-2.68
10 Ni 0.7495 0.4989 0.7500  6 Hf 2.63-2.68

---

C:
Hf3NiC: optimized geometry, GGA-PBE.

Cell lengths 4.5187, 5.5956, 8.0183 Å; angles 63.16, 73.63, 66.19 degrees
Closest atoms and distances in Å follow each position.
Element x y z (fractional)
1 Hf 0.6392 0.6453 0.0762  3 C 2.26-2.29
2 Hf 0.9049 0.9856 0.2046  2 C 2.24-2.25
3 Ni 0.4146 0.7638 0.4071  1 Ni 2.52, 5 Hf 2.69-2.76
4 Hf 0.8396 0.6939 0.6270  1 C 2.28
5 Ni 0.5854 0.2362 0.5929  1 Ni 2.52, 5 Hf 2.69-2.76
6 Hf 0.0951 0.0144 0.7954  2 C 2.24-2.25
7 C 0.1320 0.6560 0.0801  6 Hf 2.24-2.29
8 Hf 0.3608 0.3547 0.9238  3 C 2.26-2.29
9 C 0.8680 0.3440 0.9199  6 Hf 2.24-2.29
10 Hf 0.1604 0.3061 0.3730  1 C 2.28

---

Which structure wins on stability? B wins.